<one>
DySc2Bi: relaxed, GGA-PBE.

```
DySc2Bi
1.0
4.6576 0.0000 0.0000
0.0000 4.6961 0.0000
0.0000 0.0000 4.6961
Dy Sc Bi
1 2 1
direct
0.5000 0.5000 0.5000 Dy
0.0000 0.0000 0.5000 Sc
0.0000 0.5000 0.0000 Sc
0.5000 0.0000 0.0000 Bi
```

Properties
Total magnetization   1.59 μB/cell

---

<two>
DySc2Bi: relaxed, GGA-PBE.

```
DySc2Bi
1.0
3.8712 0.0000 0.0000
0.0000 3.8712 0.0000
0.0000 0.0000 7.0032
Bi Sc Dy
1 2 1
direct
0.5000 0.5000 0.0000 Bi
0.0000 0.0000 0.2272 Sc
0.0000 0.0000 0.7728 Sc
0.5000 0.5000 0.5000 Dy
```

Properties
Total magnetization   0.00 μB/cell

---

<three>
DySc2Bi: relaxed, GGA-PBE.

```
DySc2Bi
1.0
-2.8788 3.1559 1.2055
-2.8620 -1.4348 -3.0785
-2.9517 -8.3467 6.6340
Dy Bi Sc
2 2 4
direct
0.3087 0.2500 0.6171 Dy
0.6913 0.7500 0.3829 Dy
0.1604 0.2500 0.3210 Bi
0.8396 0.7500 0.6790 Bi
0.9436 0.2500 0.8871 Sc
0.0564 0.7500 0.1129 Sc
0.5541 0.2500 0.1082 Sc
0.4459 0.7500 0.8918 Sc
```

Properties
Total magnetization   0.04 μB/cell

---

So which one wins? Going from most stable to least: <three>, <one>, <two>.